SrLaGe2Au | the Alexandria database | GGA-PBE | relaxed; V = 41.71 Å³/atom; ΔE_f = 369 kJ/mol of formula units; VASP energy = -3.060 eV per atom; symmetry = P4/mmm (123)
1.0
5.4830 0.0000 0.0000
0.0000 6.9364 0.0000
0.0000 0.0000 5.4830
La Ge Au Sr
1 2 1 1
direct
0.0000 0.0000 0.0000
0.0000 0.0000 0.5000
0.5000 0.0000 0.0000
0.5000 0.5000 0.5000
0.0000 0.5000 0.0000

CaCeCdBi | the Alexandria database | GGA-PBE | relaxed; V = 29.61 Å³/atom; ΔE_f = -166 kJ/mol of formula units; VASP energy = -3.614 eV per atom; symmetry = F-43m (216)
1.0
5.5121 0.0000 0.0000
2.7560 4.7736 0.0000
2.7560 1.5912 4.5006
Ce Ca Bi Cd
1 1 1 1
direct
0.5000 0.5000 0.5000
0.0000 0.0000 0.0000
0.2500 0.2500 0.2500
0.7500 0.7500 0.7500

LiEu | the Alexandria database | GGA-PBE | relaxed; V = 31.89 Å³/atom; ΔE_f = 8 kJ/mol of formula units; VASP energy = -6.051 eV per atom; symmetry = P2_1/m (11); ΔE to the lowest computed polymorph = 0 meV/atom
1.0
-2.5723 2.8339 -0.6289
-0.7976 0.1094 3.7553
3.5897 8.6708 0.5099
Eu Li
2 2
direct
0.5892 0.7500 0.6620
0.4108 0.2500 0.3380
0.1758 0.7500 0.0737
0.8242 0.2500 0.9263

KMg2AlIn4 | the Alexandria database | GGA-PBE | relaxed; V = 28.61 Å³/atom; ΔE_f = -10 kJ/mol of formula units; VASP energy = -2.386 eV per atom; symmetry = R-3m (166)
1.0
-0.7557 4.8458 -1.2878
-3.8956 2.5717 1.9802
4.4075 5.4789 8.0472
Mg In Al K
2 4 1 1
direct
0.2296 0.2296 0.3112
0.7704 0.7704 0.6888
0.5936 0.5936 0.2191
0.1279 0.1279 0.6164
0.8721 0.8721 0.3836
0.4064 0.4064 0.7809
0.5000 0.5000 0.5000
0.0000 0.0000 0.0000

Mn2Pb3 | the Alexandria database | GGA-PBE | relaxed; V = 24.79 Å³/atom; ΔE_f = 190 kJ/mol of formula units; VASP energy = -5.499 eV per atom; symmetry = P-3m1 (164); ΔE to the lowest computed polymorph = 0 meV/atom
1.0
2.4581 -4.2576 0.0000
2.4581 4.2576 0.0000
0.0000 0.0000 5.9228
Pb Mn
3 2
direct
0.3333 0.6667 0.3687
0.0000 0.0000 0.0000
0.6667 0.3333 0.6313
0.6667 0.3333 0.1115
0.3333 0.6667 0.8885

LiAcLa2S4 | the Alexandria database | GGA-PBE | relaxed; V = 25.50 Å³/atom; VASP energy = -5.992 eV per atom; symmetry = P2/m (10); formation energy (no corrections) = -1944 meV/atom
1.0
4.1753 0.0000 0.0000
0.0000 7.2390 -0.1676
0.0000 2.5265 6.6922
S La Ac Li
4 2 1 1
direct
0.5000 0.2489 0.7619
0.0000 0.2503 0.2433
0.0000 0.7497 0.7567
0.5000 0.7511 0.2381
0.5000 0.0000 0.5000
0.0000 0.0000 0.0000
0.0000 0.5000 0.5000
0.5000 0.5000 0.0000

SrNbBi2Pt | the Alexandria database | GGA-PBE | relaxed; V = 34.19 Å³/atom; ΔE_f = 926 kJ/mol of formula units; VASP energy = -3.190 eV per atom; symmetry = P4/mmm (123); ΔE to the lowest computed polymorph = 1377 meV/atom
1.0
5.7935 0.0000 0.0000
0.0000 5.0926 0.0000
0.0000 0.0000 5.7935
Sr Nb Bi Pt
1 1 2 1
direct
0.0000 0.0000 0.0000
0.0000 0.5000 0.0000
0.5000 0.0000 0.0000
0.0000 0.0000 0.5000
0.5000 0.5000 0.5000

Tl3CoC | the Alexandria database | GGA-PBE | relaxed; V = 26.00 Å³/atom; ΔE_f = 659 kJ/mol of formula units; VASP energy = -3.321 eV per atom; symmetry = Pm-3m (221); ΔE to the lowest computed polymorph = 0 meV/atom
1.0
-0.1489 -2.1772 4.5714
5.0558 0.1870 0.2537
-0.2779 4.5700 2.1675
C Tl Co
1 3 1
direct
0.5000 0.5000 0.5000
0.0000 0.5000 0.0000
0.0000 0.0000 0.5000
0.5000 0.0000 0.0000
0.0000 0.0000 0.0000

Li2YHgPd2 | the Alexandria database | GGA-PBE | relaxed; V = 18.21 Å³/atom; ΔE_f = -309 kJ/mol of formula units; VASP energy = -4.030 eV per atom; symmetry = P-3m1 (164)
1.0
-2.4005 -2.5401 2.7451
-0.4888 -0.4041 -4.3986
4.5864 -4.4439 -0.1014
Pd Hg Li Y
2 1 2 1
direct
0.6667 0.3333 0.7700
0.3333 0.6667 0.2300
0.0000 0.0000 0.5000
0.3333 0.6667 0.6605
0.6667 0.3333 0.3395
0.0000 0.0000 0.0000

Na2ThAg2S4 | the Alexandria database | GGA-PBE | relaxed; V = 23.44 Å³/atom; VASP energy = -4.671 eV per atom; symmetry = C2/m (12); formation energy (no corrections) = -1085 meV/atom
1.0
-2.1456 1.8638 2.9807
-5.6039 -5.1952 -0.7853
6.6813 -2.3489 3.4328
Ag Na S Th
2 2 4 1
direct
0.3256 0.0392 0.6512
0.6744 0.9608 0.3488
0.1533 0.5513 0.3066
0.8467 0.4487 0.6934
0.4866 0.7387 0.9731
0.7894 0.7892 0.5788
0.5134 0.2613 0.0269
0.2106 0.2108 0.4212
0.0000 0.0000 0.0000

Pa3Tc2Ge3Ru | the Alexandria database | GGA-PBE | relaxed; V = 19.05 Å³/atom; ΔE_f = -491 kJ/mol of formula units; VASP energy = -8.604 eV per atom; symmetry = P-62m (189)
1.0
-3.4255 1.7384 0.8364
-3.2052 -6.3319 0.0338
2.7821 2.6009 5.9885
Ge Tc Pa Ru
3 2 3 1
direct
0.5000 0.0000 0.7524
0.5000 0.7524 0.0000
0.5000 0.2476 0.2476
0.5000 0.3333 0.6667
0.5000 0.6667 0.3333
0.0000 0.0000 0.4150
0.0000 0.5850 0.5850
0.0000 0.4150 0.0000
0.0000 0.0000 0.0000

AcDyH8Rh2 | the Alexandria database | GGA-PBE | relaxed; V = 11.09 Å³/atom; VASP energy = -4.507 eV per atom; symmetry = R-3 (148)
1.0
-3.1335 3.2382 -2.0511
-3.2622 -1.5242 -3.3980
-6.3031 -0.5967 2.7121
H Ac Rh Dy
8 1 2 1
direct
0.8134 0.8134 0.5597
0.8994 0.5612 0.1685
0.6290 0.1006 0.8315
0.3710 0.8994 0.1685
0.5612 0.3710 0.1685
0.4388 0.6290 0.8315
0.1866 0.1866 0.4403
0.1006 0.4388 0.8315
0.5000 0.5000 0.5000
0.7274 0.7274 0.8179
0.2726 0.2726 0.1821
0.0000 0.0000 0.0000

Sm5SbSe4 | the Alexandria database | GGA-PBE | relaxed; V = 26.91 Å³/atom; VASP energy = -5.851 eV per atom; symmetry = Immm (71); formation energy (no corrections) = -1685 meV/atom
1.0
4.1669 0.0000 -0.8039
-0.3087 5.7635 -1.5999
0.0005 -0.0020 11.2038
Sm Sb Se
5 1 4
direct
0.8008 0.3008 0.6017
0.3945 0.8945 0.7890
0.6055 0.1055 0.2110
0.1992 0.6992 0.3983
0.0000 0.5000 0.0000
0.0000 0.0000 0.0000
0.3993 0.3993 0.7987
0.6007 0.6007 0.2013
0.7968 0.7968 0.5936
0.2032 0.2032 0.4064

ReSiRu | the Alexandria database | GGA-PBE | relaxed; V = 13.44 Å³/atom; VASP energy = -9.317 eV per atom; symmetry = I4mm (107); formation energy (no corrections) = -268 meV/atom; ΔE to the lowest computed polymorph = 0 meV/atom
1.0
5.2139 -0.0054 0.0000
3.6048 3.7670 0.0000
-4.4093 -1.8808 2.0506
Si Re Ru
1 1 1
direct
0.6697 0.6697 0.0000
0.0121 0.0121 0.0000
0.3182 0.3182 0.0000

ScNb2ReGe | the Alexandria database | GGA-PBE | relaxed; V = 23.03 Å³/atom; ΔE_f = 381 kJ/mol of formula units; VASP energy = -7.918 eV per atom; symmetry = P4/mmm (123)
1.0
4.9284 0.0000 0.0000
0.0000 4.7400 0.0000
0.0000 0.0000 4.9284
Re Nb Ge Sc
1 2 1 1
direct
0.0000 0.0000 0.0000
0.5000 0.0000 0.0000
0.0000 0.0000 0.5000
0.0000 0.5000 0.0000
0.5000 0.5000 0.5000

ReSiTc | the Alexandria database | GGA-PBE | relaxed; V = 14.05 Å³/atom; VASP energy = -9.511 eV per atom; symmetry = Imm2 (44); formation energy (no corrections) = -98 meV/atom; ΔE to the lowest computed polymorph = 218 meV/atom
1.0
4.5395 -0.0015 0.0006
2.0206 4.0650 -0.0006
-2.9075 -2.6332 2.2847
Re Si Tc
1 1 1
direct
0.9976 0.9976 0.0000
0.3335 0.3335 0.0000
0.6689 0.6689 0.0000

AsIr2 | the Alexandria database | GGA-PBE | relaxed; V = 16.52 Å³/atom; ΔE_f = 66 kJ/mol of formula units; VASP energy = -7.230 eV per atom; symmetry = I4/mcm (140)
1.0
-0.0623 -4.8075 1.9829
-5.1990 -0.0244 -0.1315
2.7228 1.0179 -4.3125
Ir As
4 2
direct
0.6834 0.8166 0.5000
0.1834 0.6834 0.8668
0.3166 0.1834 0.5000
0.8166 0.3166 0.1332
0.2500 0.2500 0.0000
0.7500 0.7500 0.0000

KRePb2 | the Alexandria database | GGA-PBE | relaxed; V = 27.49 Å³/atom; ΔE_f = 253 kJ/mol of formula units; VASP energy = -4.584 eV per atom; symmetry = C2/m (12); ΔE to the lowest computed polymorph = 178 meV/atom
1.0
-4.5418 -0.3980 -0.6628
-3.3632 -3.1481 -0.0615
-2.0742 0.8653 8.0243
Pb Re K
2 1 1
direct
0.4886 0.4886 0.5581
0.0114 0.0114 0.9419
0.7500 0.7500 0.7500
0.2500 0.2500 0.2500

Tb2NbSi3Ir4 | the Alexandria database | GGA-PBE | relaxed; V = 17.63 Å³/atom; VASP energy = -8.069 eV per atom; symmetry = P-4m2 (115); formation energy (no corrections) = -965 meV/atom
1.0
-2.0324 -2.8721 2.1215
0.3056 -2.5720 -3.1893
9.0449 -3.6099 3.7779
Si Ir Tb Nb
3 4 2 1
direct
0.0000 0.0000 0.5000
0.0000 0.5000 0.1254
0.5000 0.0000 0.8746
0.5000 0.0000 0.6454
0.5000 0.5000 0.0000
0.0000 0.5000 0.3546
0.0000 0.0000 0.0000
0.0000 0.5000 0.7625
0.5000 0.0000 0.2375
0.5000 0.5000 0.5000

Co2SbBr | the Alexandria database | GGA-PBE | relaxed; V = 17.30 Å³/atom; VASP energy = -4.631 eV per atom; symmetry = R-3m (166); formation energy (no corrections) = 370 meV/atom; ΔE to the lowest computed polymorph = 255 meV/atom
1.0
-1.4381 -7.3451 -0.0840
0.4689 -6.9361 -2.7742
1.8689 -7.2445 0.2235
Co Sb Br
2 1 1
direct
0.9983 0.9983 0.9983
0.5017 0.5017 0.5017
0.2500 0.2500 0.2500
0.7500 0.7500 0.7500

Hf2CdAg | the Alexandria database | GGA-PBE | relaxed; V = 20.36 Å³/atom; ΔE_f = 20 kJ/mol of formula units; VASP energy = -5.867 eV per atom; symmetry = P4/mmm (123)
1.0
3.1032 0.0000 0.0000
0.0000 3.1032 0.0000
0.0000 0.0000 8.4588
Cd Ag Hf
1 1 2
direct
0.5000 0.5000 0.5000
0.5000 0.5000 0.0000
0.0000 0.0000 0.2428
0.0000 0.0000 0.7572

ZrV3B | the Alexandria database | GGA-PBE | relaxed; V = 14.53 Å³/atom; ΔE_f = 17 kJ/mol of formula units; VASP energy = -8.481 eV per atom; symmetry = Pm-3m (221); ΔE to the lowest computed polymorph = 0 meV/atom
1.0
-1.9994 2.9352 2.1913
1.7401 -1.4357 3.5107
3.2232 2.5958 -0.5361
B V Zr
1 3 1
direct
0.0000 0.0000 0.0000
0.0000 0.0000 0.5000
0.0000 0.5000 0.0000
0.5000 0.0000 0.0000
0.5000 0.5000 0.5000

ScSnHg2 | the Alexandria database | GGA-PBE | relaxed; V = 22.67 Å³/atom; ΔE_f = -113 kJ/mol of formula units; VASP energy = -3.028 eV per atom; symmetry = P4/mmm (123)
1.0
-3.2836 2.5881 -2.3149
1.3535 -1.6711 -3.7882
-2.8610 -3.2585 0.4152
Hg Sc Sn
2 1 1
direct
0.0000 0.0000 0.5000
0.0000 0.5000 0.0000
0.5000 0.0000 0.0000
0.5000 0.5000 0.5000

Cs4HgAu2 | the Alexandria database | GGA-PBE | relaxed; V = 63.50 Å³/atom; ΔE_f = -77 kJ/mol of formula units; VASP energy = -1.582 eV per atom; symmetry = I4/mmm (139); ΔE to the lowest computed polymorph = 154 meV/atom
1.0
7.1195 0.0000 0.0000
0.0000 7.1195 0.0000
-3.5597 -3.5597 8.7702
Cs Hg Au
4 1 2
direct
0.5000 0.0000 0.0000
0.2220 0.2220 0.4440
0.0000 0.5000 0.0000
0.7780 0.7780 0.5560
0.0000 0.0000 0.0000
0.4193 0.4193 0.8385
0.5807 0.5807 0.1615

Mg4TcBr | the Alexandria database | GGA-PBE | relaxed; V = 20.67 Å³/atom; VASP energy = -2.560 eV per atom; symmetry = F-43m (216); formation energy (no corrections) = 510 meV/atom
1.0
3.9160 -2.0449 3.4379
-1.4088 -1.7266 5.1352
0.0669 -5.4598 1.2337
Mg Tc Br
4 1 1
direct
0.3768 0.3768 0.3768
0.3768 0.8695 0.3768
0.3768 0.3768 0.8695
0.8695 0.3768 0.3768
0.7500 0.7500 0.7500
0.0000 0.0000 0.0000

Cs2CdCl5 | the Alexandria database | GGA-PBE | relaxed; V = 45.78 Å³/atom; VASP energy = -2.762 eV per atom; symmetry = Cmcm (63); formation energy (no corrections) = -1280 meV/atom
1.0
5.8072 0.0000 0.0000
-2.9036 8.6291 0.0000
0.0000 0.0000 14.6169
Cl Cs Cd
10 4 2
direct
0.9456 0.8912 0.8401
0.7144 0.4289 0.2500
0.2856 0.5711 0.7500
0.2710 0.5420 0.1024
0.0544 0.1088 0.3401
0.7290 0.4580 0.8976
0.0544 0.1088 0.1599
0.7290 0.4580 0.6024
0.2710 0.5420 0.3976
0.9456 0.8912 0.6599
0.1405 0.2811 0.5771
0.8595 0.7189 0.4229
0.8595 0.7189 0.0771
0.1405 0.2811 0.9229
0.8036 0.6071 0.7500
0.1964 0.3929 0.2500

Cd4As | the Alexandria database | GGA-PBE | relaxed; V = 27.15 Å³/atom; ΔE_f = 101 kJ/mol of formula units; VASP energy = -1.453 eV per atom; symmetry = Im-3m (229); ΔE to the lowest computed polymorph = 134 meV/atom
1.0
2.8509 -0.0136 4.8290
-1.7587 5.2062 -1.1178
-4.4263 -3.4157 0.4329
Cd As
4 1
direct
0.5000 0.5000 0.5000
0.5000 0.0000 0.0000
0.0000 0.5000 0.0000
0.0000 0.0000 0.5000
0.0000 0.0000 0.0000